DFT (PBE) results for a relaxed Ni3Se crystal.

Geometry as POSCAR:
```
Ni3Se
1.0
-3.0001 3.2264 -1.3409
0.7778 -1.1063 -4.4022
-3.4063 -3.0943 0.1758
Se Ni
2 6
Direct
0.5000 0.5000 0.5000
0.0000 0.0000 0.0000
0.2500 0.5000 0.0000
0.5000 0.0000 0.2500
0.0000 0.7500 0.5000
0.5000 0.0000 0.7500
0.7500 0.5000 0.0000
0.0000 0.2500 0.5000
```

E in eV for the cell shown: -40.5
E above lowest polymorph in meV per atom: 136.9
ΔE_f (raw) in meV/atom: 149
Crystal system: cubic

DFT (PBE) results for a relaxed Ni5Se3 crystal.

Geometry as POSCAR:
```
Ni5Se3
1.0
-4.6266 1.1355 2.6269
-0.9235 -4.4908 -2.9282
1.1403 -2.1500 2.9378
Se Ni
3 5
Direct
0.1891 0.8109 0.5000
0.5000 0.5000 0.0000
0.8109 0.1891 0.5000
0.7279 0.7279 0.5000
0.0000 0.0000 0.0000
0.2721 0.2721 0.5000
0.0000 0.5000 0.0000
0.5000 0.0000 0.0000
```

E in eV for the cell shown: -39.3
ΔE_f (raw) in meV/atom: 12
Crystal system: orthorhombic

DFT (PBE) results for a relaxed Ni2Se crystal.

Geometry as POSCAR:
```
Ni2Se
1.0
1.7699 3.7857 -0.2555
-1.7699 3.7857 -0.2555
0.0000 0.8101 7.0283
Se Ni
2 4
Direct
0.2669 0.2669 0.7215
0.7331 0.7331 0.2785
0.3484 0.3484 0.0623
0.6516 0.6516 0.9377
0.0409 0.0409 0.1824
0.9591 0.9591 0.8176
```

E in eV for the cell shown: -30.8
ΔE_f (raw) in meV/atom: -119
Crystal system: monoclinic

DFT (PBE) results for a relaxed Ni3Se crystal.

Geometry as POSCAR:
```
Ni3Se
1.0
0.8781 4.1402 -2.9546
-2.7383 0.4678 4.3503
3.5536 0.7825 2.1527
Se Ni
2 6
Direct
0.3333 0.6667 0.2500
0.6667 0.3333 0.7500
0.6733 0.8366 0.7500
0.3267 0.1634 0.2500
0.1634 0.8366 0.7500
0.8366 0.1634 0.2500
0.8366 0.6733 0.2500
0.1634 0.3267 0.7500
```

E in eV for the cell shown: -40.8
E above lowest polymorph in meV per atom: 91.9
ΔE_f (raw) in meV/atom: 104
Crystal system: hexagonal

DFT (PBE) results for a relaxed Ni2Se crystal.

Geometry as POSCAR:
```
Ni2Se
1.0
0.5218 -4.3076 0.4364
3.3917 -2.7093 -0.4170
1.2866 0.7358 5.7045
Se Ni
2 4
Direct
0.3026 0.3026 0.0153
0.9753 0.9753 0.5155
0.5570 0.5570 0.2400
0.7206 0.7206 0.7396
0.0171 0.0171 0.9116
0.2607 0.2607 0.4113
```

E in eV for the cell shown: -30.3
ΔE_f (raw) in meV/atom: -40
Crystal system: orthorhombic

DFT (PBE) results for a relaxed Ni2Se crystal.

Geometry as POSCAR:
```
Ni2Se
1.0
-3.9902 -10.1872 6.8276
0.2338 -9.0110 9.2229
0.5965 11.1166 -6.5102
Ni Se
8 4
Direct
0.7586 0.7586 0.0000
0.5857 0.5857 0.0000
0.8357 0.3357 0.5000
0.4914 0.9914 0.5000
0.0086 0.5086 0.5000
0.2414 0.2414 0.0000
0.4143 0.4143 0.0000
0.6643 0.1643 0.5000
0.3203 0.8203 0.5000
0.9297 0.9297 0.0000
0.1797 0.6797 0.5000
0.0703 0.0703 0.0000
```

E in eV for the cell shown: -59.7
ΔE_f (raw) in meV/atom: 39
Crystal system: tetragonal

DFT (PBE) results for a relaxed Ni3Se crystal.

Geometry as POSCAR:
```
Ni3Se
1.0
3.1387 0.0000 0.0000
0.0000 3.1407 0.0000
0.0000 0.0000 5.0120
Ni Se
3 1
Direct
0.5000 0.5000 0.2547
0.5000 0.5000 0.7453
0.0000 0.0000 0.5000
0.0000 0.0000 0.0000
```

E in eV for the cell shown: -20.5
E above lowest polymorph in meV per atom: 80.2
ΔE_f (raw) in meV/atom: 93
Crystal system: tetragonal

DFT (PBE) results for a relaxed Ni5Se crystal.

Geometry as POSCAR:
```
Ni5Se
1.0
1.7738 -5.4778 0.0000
1.7738 5.4778 0.0000
0.0000 0.0000 3.5992
Ni Se
5 1
Direct
0.5000 0.5000 0.0000
0.3303 0.6697 0.5000
0.8277 0.1723 0.0000
0.1723 0.8277 0.0000
0.6697 0.3303 0.5000
0.0000 0.0000 0.5000
```

E in eV for the cell shown: -32.0
ΔE_f (raw) in meV/atom: 62
Crystal system: orthorhombic

| no. | mass density (Mg/m³) |
| --- | --- |
| 1 | 8.67 |
| 2 | 8.15 |
| 3 | 6.87 |
| 4 | 8.68 |
| 5 | 8.11 |
| 6 | 8.26 |
| 7 | 8.57 |
| 8 | 8.84 |